1.
ReNi: optimized geometry, PBE.

```
ReNi
1.0
-1.900 4.386 1.132
1.155 -3.379 3.373
6.993 2.897 0.507
Ni Re
6 6
Direct
0.000 0.000 0.000 Ni
0.181 0.328 0.250 Ni
0.672 0.819 0.250 Ni
0.000 0.000 0.500 Ni
0.328 0.181 0.750 Ni
0.819 0.672 0.750 Ni
0.652 0.348 0.058 Re
0.184 0.816 0.250 Re
0.652 0.348 0.442 Re
0.348 0.652 0.558 Re
0.816 0.184 0.750 Re
0.348 0.652 0.942 Re
```

Values from the calculation:
Energy of formation ... 0.1224 eV per atom

---

2.
DyY2Tm2Lu2Ni2Te2: optimized geometry, PBE.

```
DyY2Tm2Lu2Ni2Te2
1.0
6.957 -3.040 5.294
-1.989 9.039 0.104
-0.898 -8.896 2.394
Dy Lu Ni Te Tm Y
1 2 2 2 2 2
Direct
0.477 0.477 0.000 Dy
0.411 0.096 0.315 Lu
0.781 0.096 0.685 Lu
0.642 0.405 0.237 Ni
0.168 0.405 0.763 Ni
0.142 0.142 0.000 Te
0.740 0.240 0.500 Te
0.099 0.747 0.353 Tm
0.394 0.747 0.647 Tm
0.027 0.895 0.132 Y
0.763 0.895 0.868 Y
```

Values from the calculation:
E above lowest polymorph ... 0.05 eV per formula unit

---

no.,uncorrected energy (eV per atom),mass density (g/cm3)
1,-8.8728,15.925
2,-5.4998,8.323